Record 1
The following is a GGA-PBE calculation of crystalline Zn2GaS3 at its relaxed geometry, from OQMD.

Summary:
- total energy (eV/atom) = -3.571

a b c (Å): 6.6117 11.5819 7.0766
angles (deg): 90.00 111.31 90.00
Space group Cc (No. 9)
One atom of each set of equivalent atoms:
1 Zn 0.0000 0.0730 0.0000 (multiplicity 4)
2 Zn 0.4893 0.2459 0.9900 (multiplicity 4)
3 Ga 0.0141 0.3952 0.0325 (multiplicity 4)
4 S 0.1081 0.2326 0.8470 (multiplicity 4)
5 S 0.1163 0.4310 0.4034 (multiplicity 4)
6 S 0.1180 0.0901 0.3629 (multiplicity 4)

---

Record 2
The following is a GGA-PBE calculation of crystalline ZnGa2S4 at its relaxed geometry, from OQMD.

Summary:
- total energy (eV/atom) = -4.139

a b c (Å): 5.3431 5.3528 6.4544
angles (deg): 114.45 114.35 90.02
Space group P1 (No. 1)
One atom of each set of equivalent atoms:
1 Zn 0.0000 0.0000 0.0000 (multiplicity 1)
2 Ga 0.4992 0.5020 0.0010 (multiplicity 1)
3 Ga 0.7490 0.2502 0.5003 (multiplicity 1)
4 S 0.1300 0.1184 0.7388 (multiplicity 1)
5 S 0.3781 0.8712 0.2632 (multiplicity 1)
6 S 0.6081 0.6226 0.7387 (multiplicity 1)
7 S 0.8815 0.3915 0.2613 (multiplicity 1)

---

Record 3
The following is a GGA-PBE calculation of crystalline ZnGa2S4 at its relaxed geometry, from OQMD.

Summary:
- total energy (eV/atom) = -4.129

a b c (Å): 5.2296 5.2296 5.3799
angles (deg): 90.00 90.00 90.00
Space group P-42m (No. 111)
One atom of each set of equivalent atoms:
1 Zn 0.0000 0.0000 0.0000 (multiplicity 1)
2 Ga 0.0000 0.5000 0.5000 (multiplicity 2)
3 S 0.2641 0.2641 0.2428 (multiplicity 4)